# YCuBr2

YCuBr2 after structural relaxation (GGA-PBE, the Alexandria database).

Output
* calculated volume: 102.3 Å³/cell
* density of states at the Fermi level: 1.536 states/eV/cell

abc: 3.786 3.786 8.570
angles: 90.00 90.00 123.59
Positions (direct):
1 Y 0.000 0.000 0.000
2 Cu 0.000 0.000 0.500
3 Br 0.500 0.500 0.288
4 Br 0.500 0.500 0.712

# SrTaNb2Mo

SrTaNb2Mo after structural relaxation (GGA-PBE, the Alexandria database).

Output
* formation energy: 921 kJ/mol of formula units
* calculated volume: 137.3 Å³/cell
* density of states at the Fermi level: 5.809 states/eV/cell

abc: 4.909 4.909 5.698
angles: 90.00 90.00 90.00
Positions (direct):
1 Sr 0.000 0.000 0.000
2 Ta 0.000 0.000 0.500
3 Nb 0.000 0.500 0.500
4 Nb 0.500 0.000 0.500
5 Mo 0.500 0.500 0.000

# TaZnRu

TaZnRu after structural relaxation (GGA-PBE, the Alexandria database).

Output
* formation energy: -30 kJ/mol of formula units
* calculated volume: 46.5 Å³/cell
* density of states at the Fermi level: 1.754 states/eV/cell

abc: 4.359 4.359 2.827
angles: 90.00 90.00 120.00
Positions (direct):
1 Ta 0.000 0.000 0.000
2 Zn 0.667 0.333 0.429
3 Ru 0.333 0.667 0.694

| no. | total energy (eV for the cell shown) | M_tot (μB/atom) |
| --- | --- | --- |
| 1 | -15.62 | 0.0000 |
| 2 | -34.95 | 0.4864 |
| 3 | -22.72 | 0.0000 |